LiZrPt2Rh | GGA-PBE | optimized geometry

Summary:
* E_form: 470 meV per atom
* ρ: 8.108 g cm⁻³
* energy: -5.509 eV per atom

Unit cell a=5.0304 b=4.7850 c=5.0304 alpha=90.00 beta=90.00 gamma=90.00
Atoms (fractional coordinates):
Rh1 0.0000 0.5000 0.0000
Zr1 0.0000 0.0000 0.0000
Li1 0.5000 0.5000 0.5000
Pt1 0.5000 0.0000 0.0000
Pt2 0.0000 0.0000 0.5000

=====

SrNiOs | GGA-PBE | optimized geometry

Summary:
* E_form: 1035 meV per atom
* relative energy among the computed polymorphs: 0.624 eV per atom
* ρ: 10.332 g cm⁻³
* energy: -5.196 eV per atom

Unit cell a=2.9545 b=2.9545 c=7.1551 alpha=90.00 beta=90.00 gamma=120.00
Atoms (fractional coordinates):
Sr1 0.3333 0.6667 0.6684
Os1 0.6667 0.3333 0.2950
Ni1 0.0000 0.0000 0.0366

=====

- What is the formula in the second record?
  SrNiOs